SrZr2Mo PBE relaxed; crystal system = monoclinic; symmetry = No. 10; offset from the most stable computed form = 0 meV per atom; total magnetic moment = 0.00 μB per formula unit; density of states at the Fermi level = 0.962 states/eV per atom; E_form = 206 meV/atom
1.0
-2.1602 -2.6257 0.0514
0.9189 -0.8180 -3.1700
7.5927 -6.2431 0.1788
Zr Sr Mo
2 1 1
Direct
0.0000 0.9150 0.0845 Zr
0.0000 0.5850 0.4155 Zr
0.5000 0.7500 0.7500 Sr
0.5000 0.2500 0.2500 Mo